Entry from Alexandria: an optimized crystal structure of SrTb5Cd6 (GGA-PBE).

The space group is Immm (No. 71) and the conventional cell measures 5.3737, 7.6126 and 16.0938 Å, with angles of 90.00, 90.00 and 90.00 degrees. Symmetry generates all atoms from Sr at (0.0000, 0.0000, 0.0000), Tb at (0.0000, 0.0000, 0.3311), Tb at (0.0000, 0.5000, 0.0000), Tb at (0.0000, 0.5000, 0.3374), Cd at (0.0000, 0.2296, 0.5000) and Cd at (0.0000, 0.2601, 0.1720).

The formation energy from the elements comes out at -29 kJ per mole of atoms. The total energy comes out at -67.93 eV per cell.

Entry from Alexandria: an optimized crystal structure of SrTbCd (GGA-PBE).

The space group is I4/mmm (No. 139) and the conventional cell measures 3.8628, 3.8628 and 28.0660 Å, with angles of 90.00, 90.00 and 90.00 degrees. Symmetry generates all atoms from Sr at (0.0000, 0.0000, 0.0712), Tb at (0.0000, 0.0000, 0.2093) and Cd at (0.0000, 0.0000, 0.3520).

The formation energy from the elements comes out at -14 kJ per mole of atoms. The total energy comes out at -30.68 eV per cell.

Entry from Alexandria: an optimized crystal structure of SrTb2Cd4 (GGA-PBE).

The space group is I4/mmm (No. 139) and the conventional cell measures 5.0798, 5.0798 and 17.0964 Å, with angles of 90.00, 90.00 and 90.00 degrees. Symmetry generates all atoms from Sr at (0.0000, 0.0000, 0.0000), Tb at (0.0000, 0.0000, 0.2509) and Cd at (0.0000, 0.5000, 0.1347).

The formation energy from the elements comes out at -13 kJ per mole of atoms. The total energy comes out at -31.05 eV per cell.

Entry from Alexandria: an optimized crystal structure of SrTbCd4 (GGA-PBE).

The space group is F-43m (No. 216) and the conventional cell measures 8.5559, 8.5559 and 8.5559 Å, with angles of 90.00, 90.00 and 90.00 degrees. Symmetry generates all atoms from Sr at (0.0000, 0.0000, 0.0000), Tb at (0.2500, 0.2500, 0.7500) and Cd at (0.1243, 0.1243, 0.3757).

The formation energy from the elements comes out at -24 kJ per mole of atoms. The total energy comes out at -45.81 eV per cell.

Entry from Alexandria: an optimized crystal structure of SrTb2Cd3 (GGA-PBE).

The space group is P4/mmm (No. 123) and the conventional cell measures 3.8264, 3.8264 and 11.6940 Å, with angles of 90.00, 90.00 and 90.00 degrees. Symmetry generates all atoms from Sr at (0.0000, 0.0000, 0.0000), Tb at (0.0000, 0.0000, 0.3429), Cd at (0.5000, 0.5000, 0.1918) and Cd at (0.5000, 0.5000, 0.5000).

The formation energy from the elements comes out at -31 kJ per mole of atoms. The total energy comes out at -15.61 eV per cell.

Entry from Alexandria: an optimized crystal structure of SrTbCd3 (GGA-PBE).

The space group is Cmcm (No. 63) and the conventional cell measures 3.7724, 30.1001 and 5.0184 Å, with angles of 90.00, 90.00 and 90.00 degrees. Symmetry generates all atoms from Sr at (0.0000, 0.0766, 0.2500), Tb at (0.0000, 0.2136, 0.7500), Cd at (0.0000, 0.3196, 0.7500), Cd at (0.0000, 0.3747, 0.2500) and Cd at (0.0000, 0.4744, 0.2500).

The formation energy from the elements comes out at -29 kJ per mole of atoms. The total energy comes out at -42.15 eV per cell.

Entry from Alexandria: an optimized crystal structure of Sr2TbCd4 (GGA-PBE).

The space group is I4/mmm (No. 139) and the conventional cell measures 5.5994, 5.5994 and 14.4201 Å, with angles of 90.00, 90.00 and 90.00 degrees. Symmetry generates all atoms from Sr at (0.0000, 0.0000, 0.2369), Tb at (0.0000, 0.0000, 0.5000) and Cd at (0.0000, 0.5000, 0.1058).

The formation energy from the elements comes out at -16 kJ per mole of atoms. The total energy comes out at -25.60 eV per cell.

Entry from Alexandria: an optimized crystal structure of Sr3Tb3CdTe8 (GGA-PBE).

The space group is R-3m (No. 166, hexagonal axes) and the conventional cell measures 8.9628, 8.9628 and 22.7404 Å, with angles of 90.00, 90.00 and 120.00 degrees. Symmetry generates all atoms from Sr at (0.0000, 0.5000, 0.0000), Tb at (0.0000, 0.5000, 0.5000), Cd at (0.0000, 0.0000, 0.5000), Te at (0.0000, 0.0000, 0.2439) and Te at (0.0032, 0.5016, 0.7573).

The total energy comes out at -195.75 eV per cell.

Entry from Alexandria: an optimized crystal structure of SrTbTlCd (GGA-PBE).

The space group is P4mm (No. 99) and the conventional cell measures 3.8834, 3.8834 and 7.9966 Å, with angles of 90.00, 90.00 and 90.00 degrees. Symmetry generates all atoms from Sr at (0.0000, 0.0000, 0.0000), Tb at (0.0000, 0.0000, 0.5088), Tl at (0.5000, 0.5000, 0.2778) and Cd at (0.5000, 0.5000, 0.7245).

The formation energy from the elements comes out at -34 kJ per mole of atoms. The total energy comes out at -11.02 eV per cell.

Entry from Alexandria: an optimized crystal structure of SrTbTlCd (GGA-PBE).

The space group is F-43m (No. 216) and the conventional cell measures 7.8385, 7.8385 and 7.8385 Å, with angles of 90.00, 90.00 and 90.00 degrees. Symmetry generates all atoms from Sr at (0.0000, 0.0000, 0.0000), Tb at (0.0000, 0.0000, 0.5000), Tl at (0.2500, 0.2500, 0.7500) and Cd at (0.2500, 0.2500, 0.2500).

The formation energy from the elements comes out at -31 kJ per mole of atoms. The total energy comes out at -43.53 eV per cell.

Entry from Alexandria: an optimized crystal structure of Sr3CdTc (GGA-PBE).

The space group is Pm-3m (No. 221) and the conventional cell measures 5.7157, 5.7157 and 5.7157 Å, with angles of 90.00, 90.00 and 90.00 degrees. Symmetry generates all atoms from Sr at (0.0000, 0.0000, 0.5000), Cd at (0.5000, 0.5000, 0.5000) and Tc at (0.0000, 0.0000, 0.0000).

The formation energy from the elements comes out at 46 kJ per mole of atoms. The total energy comes out at -13.94 eV per cell.

Entry from Alexandria: an optimized crystal structure of SrCdTc2 (GGA-PBE).

The space group is R3m (No. 160, hexagonal axes) and the conventional cell measures 4.3242, 4.3242 and 18.1821 Å, with angles of 90.00, 90.00 and 120.00 degrees. Symmetry generates all atoms from Sr at (0.0000, 0.0000, 0.0000), Cd at (0.0000, 0.0000, 0.2058), Tc at (0.0000, 0.0000, 0.4670) and Tc at (0.0000, 0.0000, 0.7944).

The formation energy from the elements comes out at 26 kJ per mole of atoms. The total energy comes out at -66.71 eV per cell.

Entry from Alexandria: an optimized crystal structure of SrCdTc2 (GGA-PBE).

The space group is C2/m (No. 12) and the conventional cell measures 9.8717, 3.8413 and 5.7135 Å, with angles of 90.00, 110.08 and 90.00 degrees. Symmetry generates all atoms from Sr at (0.0000, 0.0000, 0.0000), Cd at (0.0000, 0.5000, 0.5000) and Tc at (0.2344, 0.0000, 0.6051).

The formation energy from the elements comes out at 48 kJ per mole of atoms. The total energy comes out at -42.69 eV per cell.

Entry from Alexandria: an optimized crystal structure of SrCdTc (GGA-PBE).

The space group is Imm2 (No. 44) and the conventional cell measures 3.6057, 3.6268 and 11.3966 Å, with angles of 90.00, 90.00 and 90.00 degrees. Symmetry generates all atoms from Sr at (0.0000, 0.0000, 0.0000), Cd at (0.0000, 0.0000, 0.7112) and Tc at (0.0000, 0.0000, 0.3133).

The formation energy from the elements comes out at 57 kJ per mole of atoms. The total energy comes out at -22.40 eV per cell.

Entry from Alexandria: an optimized crystal structure of SrCdTc2 (GGA-PBE).

The space group is Imm2 (No. 44) and the conventional cell measures 3.7989, 5.0582 and 9.3668 Å, with angles of 90.00, 90.00 and 90.00 degrees. Symmetry generates all atoms from Sr at (0.0000, 0.0000, 0.0000), Cd at (0.0000, 0.5000, 0.2183), Tc at (0.0000, 0.0000, 0.4224) and Tc at (0.0000, 0.5000, 0.7727).

The formation energy from the elements comes out at 53 kJ per mole of atoms. The total energy comes out at -42.25 eV per cell.

Entry from Alexandria: an optimized crystal structure of SrCdTc2 (GGA-PBE).

The space group is C2/m (No. 12) and the conventional cell measures 5.8607, 10.0617 and 2.7827 Å, with angles of 90.00, 108.91 and 90.00 degrees. Symmetry generates all atoms from Sr at (0.0000, 0.0000, 0.0000), Cd at (0.0000, 0.5000, 0.0000) and Tc at (0.2500, 0.2500, 0.5000).

The formation energy from the elements comes out at 83 kJ per mole of atoms. The total energy comes out at -39.75 eV per cell.

Entry from Alexandria: an optimized crystal structure of SrCdTc (GGA-PBE).

The space group is F-43m (No. 216) and the conventional cell measures 7.0120, 7.0120 and 7.0120 Å, with angles of 90.00, 90.00 and 90.00 degrees. Symmetry generates all atoms from Sr at (0.0000, 0.0000, 0.0000), Cd at (0.0000, 0.0000, 0.5000) and Tc at (0.2500, 0.2500, 0.7500).

The formation energy from the elements comes out at 85 kJ per mole of atoms. The total energy comes out at -41.28 eV per cell.

Entry from Alexandria: an optimized crystal structure of SrCdTc2 (GGA-PBE).

The space group is P2/m (No. 10) and the conventional cell measures 3.2001, 5.1763 and 5.3295 Å, with angles of 90.00, 90.10 and 90.00 degrees. Symmetry generates all atoms from Sr at (0.0000, 0.0000, 0.0000), Cd at (0.5000, 0.0000, 0.5000) and Tc at (0.4987, 0.5000, 0.7922).

The formation energy from the elements comes out at 75 kJ per mole of atoms. The total energy comes out at -20.23 eV per cell.

Entry from Alexandria: an optimized crystal structure of SrCd3Tc (GGA-PBE).

The space group is Pm-3m (No. 221) and the conventional cell measures 6.0549, 6.0549 and 6.0549 Å, with angles of 90.00, 90.00 and 90.00 degrees. Symmetry generates all atoms from Sr at (0.0000, 0.0000, 0.0000), Cd at (0.0000, 0.0000, 0.5000) and Tc at (0.5000, 0.5000, 0.5000).

The formation energy from the elements comes out at 150 kJ per mole of atoms. The total energy comes out at -7.00 eV per cell.

Entry from Alexandria: an optimized crystal structure of SrCdTc3 (GGA-PBE).

The space group is Pm-3m (No. 221) and the conventional cell measures 4.8389, 4.8389 and 4.8389 Å, with angles of 90.00, 90.00 and 90.00 degrees. Symmetry generates all atoms from Sr at (0.0000, 0.0000, 0.0000), Cd at (0.5000, 0.5000, 0.5000) and Tc at (0.0000, 0.0000, 0.5000).

The formation energy from the elements comes out at 263 kJ per mole of atoms. The total energy comes out at -20.09 eV per cell.